Record 1
Rb2Ba2PtO4 PBE-GGA optimized geometry; mass density = 6.62 g cm⁻³; symmetry = I4/mmm, No. 139; E_form (uncorrected) = -1110 meV per atom; total energy = -4.63 eV/atom
1.0
-3.197 3.197 4.323
3.197 -3.197 4.323
3.197 3.197 -4.323
Rb Ba Pt O
2 2 1 4
Cartesian
3.197 0.000 2.161 Rb
0.000 3.197 2.161 Rb
0.000 0.000 1.477 Ba
0.000 0.000 7.169 Ba
0.000 0.000 4.323 Pt
1.674 1.674 0.000 O
1.523 -1.523 4.323 O
-1.523 1.523 4.323 O
1.523 1.523 4.323 O

---

Record 2
CrSe3 PBE-GGA optimized geometry; mass density = 6.02 g cm⁻³; symmetry = Pm-3m, No. 221; E_form (uncorrected) = 523 meV per atom; total energy = -4.50 eV/atom
1.0
4.302 0.000 0.000
0.000 4.302 0.000
0.000 0.000 4.302
Cr Se
1 3
Cartesian
0.000 0.000 0.000 Cr
0.000 2.151 2.151 Se
2.151 0.000 2.151 Se
2.151 2.151 0.000 Se

---

Record 3
PmSmY3Er PBE-GGA optimized geometry; mass density = 6.20 g cm⁻³; symmetry = Cmcm, No. 63; total energy = -5.55 eV/atom
1.0
2.533 -7.606 0.000
2.533 7.606 0.000
0.000 0.000 10.136
Pm Sm Y Er
2 2 6 2
Cartesian
2.533 7.594 7.602 Pm
2.533 -7.594 2.534 Pm
2.533 0.000 0.000 Sm
2.533 0.000 5.068 Sm
2.533 5.064 10.133 Y
2.533 5.064 5.071 Y
2.533 2.551 7.602 Y
2.533 -2.551 2.534 Y
2.533 -5.064 0.003 Y
2.533 -5.064 5.065 Y
2.533 2.542 2.534 Er
2.533 -2.542 7.602 Er

---

Record 4
Li6ZnCu8 PBE-GGA optimized geometry; mass density = 4.76 g cm⁻³; symmetry = R-3, No. 148; total energy = -2.99 eV/atom
1.0
3.370 1.946 5.452
-3.370 1.946 5.452
0.000 -3.892 5.452
Li Zn Cu
6 1 8
Cartesian
-1.670 -0.135 6.370 Li
-0.718 -1.513 9.987 Li
0.952 -1.378 6.370 Li
-0.952 1.378 9.987 Li
0.718 1.513 6.370 Li
1.670 0.135 9.987 Li
0.000 0.000 0.000 Zn
-0.883 -2.621 7.375 Cu
-2.711 -0.546 8.981 Cu
0.000 0.000 3.948 Cu
-1.828 2.075 7.375 Cu
1.828 -2.075 8.981 Cu
0.000 0.000 12.409 Cu
2.711 0.546 7.375 Cu
0.883 2.621 8.981 Cu